No. 1
First-principles (PBE) data for a relaxed EuGdPdPt crystal, as listed in Alexandria.

Computed properties:
Uncorrected energy in eV/atom: -9.796
Symmetry: F-43m, No. 216

```
data_EuGdPdPt
_symmetry_space_group_name_H-M 'P 1'
_symmetry_Int_Tables_number 1
_symmetry_space_group_name_Hall 'P 1'
_cell_length_a 7.115
_cell_length_b 7.115
_cell_length_c 7.115
_cell_angle_alpha 90.00
_cell_angle_beta 90.00
_cell_angle_gamma 90.00
loop_
_atom_site_label
_atom_site_fract_x
_atom_site_fract_y
_atom_site_fract_z
_atom_site_occupancy
Eu1 0.000 0.000 0.000 1
Eu2 0.000 0.500 0.500 1
Eu3 0.500 0.000 0.500 1
Eu4 0.500 0.500 0.000 1
Gd1 0.000 0.000 0.500 1
Gd2 0.000 0.500 0.000 1
Gd3 0.500 0.000 0.000 1
Gd4 0.500 0.500 0.500 1
Pd1 0.250 0.250 0.750 1
Pd2 0.250 0.750 0.250 1
Pd3 0.750 0.250 0.250 1
Pd4 0.750 0.750 0.750 1
Pt1 0.250 0.250 0.250 1
Pt2 0.250 0.750 0.750 1
Pt3 0.750 0.250 0.750 1
Pt4 0.750 0.750 0.250 1
```

***

No. 2
First-principles (PBE) data for a relaxed Li2PrMoH8 crystal, as listed in Alexandria.

Computed properties:
Uncorrected energy in eV/atom: -4.034
Symmetry: P-1, No. 2

```
data_Li2PrMoH8
_symmetry_space_group_name_H-M 'P 1'
_symmetry_Int_Tables_number 1
_symmetry_space_group_name_Hall 'P 1'
_cell_length_a 3.311
_cell_length_b 5.168
_cell_length_c 6.505
_cell_angle_alpha 89.85
_cell_angle_beta 89.98
_cell_angle_gamma 88.52
loop_
_atom_site_label
_atom_site_fract_x
_atom_site_fract_y
_atom_site_fract_z
_atom_site_occupancy
Li1 0.000 0.001 0.234 1
Li2 0.000 0.999 0.766 1
Pr1 0.500 0.500 0.500 1
Mo1 0.500 0.500 0.000 1
H1 0.007 0.309 0.000 1
H2 0.014 0.202 0.501 1
H3 0.493 0.757 0.196 1
H4 0.494 0.757 0.803 1
H5 0.506 0.243 0.197 1
H6 0.507 0.243 0.804 1
H7 0.986 0.798 0.499 1
H8 0.993 0.691 0.000 1
```

***

No. 3
First-principles (PBE) data for a relaxed Na8HgAu6 crystal, as listed in Alexandria.

Computed properties:
Uncorrected energy in eV/atom: -2.278
Symmetry: R-3, No. 148

```
data_Na8HgAu6
_symmetry_space_group_name_H-M 'P 1'
_symmetry_Int_Tables_number 1
_symmetry_space_group_name_Hall 'P 1'
_cell_length_a 7.792
_cell_length_b 7.792
_cell_length_c 7.792
_cell_angle_alpha 66.25
_cell_angle_beta 66.25
_cell_angle_gamma 66.25
loop_
_atom_site_label
_atom_site_fract_x
_atom_site_fract_y
_atom_site_fract_z
_atom_site_occupancy
Na1 0.064 0.708 0.378 1
Na2 0.167 0.167 0.167 1
Na3 0.292 0.622 0.936 1
Na4 0.378 0.064 0.708 1
Na5 0.622 0.936 0.292 1
Na6 0.708 0.378 0.064 1
Na7 0.833 0.833 0.833 1
Na8 0.936 0.292 0.622 1
Hg1 0.500 0.500 0.500 1
Au1 0.112 0.454 0.788 1
Au2 0.212 0.888 0.546 1
Au3 0.454 0.788 0.112 1
Au4 0.546 0.212 0.888 1
Au5 0.788 0.112 0.454 1
Au6 0.888 0.546 0.212 1
```

***

No. 4
First-principles (PBE) data for a relaxed RbSn3Bi crystal, as listed in Alexandria.

Computed properties:
Offset from the most stable computed form in meV/atom: 75.6
Symmetry: Pc, No. 7

```
data_RbSn3Bi
_symmetry_space_group_name_H-M 'P 1'
_symmetry_Int_Tables_number 1
_symmetry_space_group_name_Hall 'P 1'
_cell_length_a 6.856
_cell_length_b 7.233
_cell_length_c 9.901
_cell_angle_alpha 90.00
_cell_angle_beta 133.73
_cell_angle_gamma 90.00
loop_
_atom_site_label
_atom_site_fract_x
_atom_site_fract_y
_atom_site_fract_z
_atom_site_occupancy
Rb1 0.000 0.240 0.000 1
Rb2 0.000 0.760 0.500 1
Sn1 0.235 0.269 0.485 1
Sn2 0.235 0.731 0.985 1
Sn3 0.331 0.392 0.831 1
Sn4 0.331 0.608 0.331 1
Sn5 0.735 0.269 0.485 1
Sn6 0.735 0.731 0.985 1
Bi1 0.633 0.085 0.133 1
Bi2 0.633 0.915 0.633 1
```